# PmZrNiAu (PBE, relaxed)
data_PmZrNiAu
_chemical_formula_sum 'Pm1 Zr1 Ni1 Au1'
_space_group_name_H-M_alt 'P 1'
_space_group_IT_number 1
_cell_length_a 4.9083
_cell_length_b 4.9083
_cell_length_c 4.9083
_cell_angle_alpha 60.00
_cell_angle_beta 60.00
_cell_angle_gamma 60.00
loop_
_space_group_symop_operation_xyz
'x,y,z'
loop_
_atom_site_label
_atom_site_type_symbol
_atom_site_fract_x
_atom_site_fract_y
_atom_site_fract_z
Ni1 Ni 0.7500 0.7500 0.7500
Au1 Au 0.2500 0.2500 0.2500
Zr1 Zr 0.0000 0.0000 0.0000
Pm1 Pm 0.5000 0.5000 0.5000
# - N(E_F): 4.6 states/eV per cell
# - VASP energy: -23.62 eV/cell
# - DFT formation energy: -0.316 eV/atom
# - Magnetization: 0.0 Bohr magnetons per cell